1.
Computed, not measured: a geometry-optimized YBeAl2 structure at the GGA-PBEsol level of DFT.

a = 4.1227 Å, b = 4.1227 Å, c = 5.1898 Å
α = 113.40°, β = 113.40°, γ = 90.00°
Element x y z (fractional)
Al  0.7500  0.2500  0.5000
Al  0.2500  0.7500  0.5000
Y  0.0000  0.0000  0.0000
Be  0.5000  0.5000  0.0000

## Properties
ΔH_f (0 K) in meV/atom: 46
Total magnetization in μB/cell: 0.00

2.
Computed, not measured: a geometry-optimized NaCr2AsIr structure at the GGA-PBEsol level of DFT.

a = 4.5282 Å, b = 4.5282 Å, c = 4.7317 Å
α = 90.00°, β = 90.00°, γ = 90.00°
Each line ends with the local moment (μB).
Element x y z (fractional)
Cr  0.5000  0.0000  0.0000  3.17
Cr  0.0000  0.5000  0.0000  3.17
As  0.0000  0.0000  0.0000  -0.19
Na  0.0000  0.0000  0.5000  -0.01
Ir  0.5000  0.5000  0.5000  -0.35

## Properties
ΔH_f (0 K) in meV/atom: 1298
Total magnetization in μB/cell: 6.45

3.
Computed, not measured: a geometry-optimized KDyP4O12 structure at the GGA-PBEsol level of DFT.

a = 7.3060 Å, b = 7.3060 Å, c = 10.4300 Å
α = 101.10°, β = 101.10°, γ = 115.24°
Element x y z (fractional)
P  0.7455  0.6962  0.9419
P  0.6962  0.7455  0.4419
P  0.3730  0.7165  0.9970
P  0.3038  0.2545  0.5581
P  0.2545  0.3038  0.0581
P  0.2835  0.6270  0.5030
P  0.7165  0.3730  0.4970
P  0.6270  0.2835  0.0030
O  0.1345  0.1581  0.9136
O  0.8655  0.8419  0.0864
O  0.4989  0.6399  0.9100
O  0.8157  0.7546  0.8244
O  0.2964  0.8131  0.6025
O  0.5325  0.2718  0.5669
O  0.7546  0.8157  0.3244
O  0.3601  0.5011  0.5900
O  0.6399  0.4989  0.4100
O  0.0850  0.4842  0.3845
O  0.2718  0.5325  0.0669
O  0.1869  0.7036  0.8975
O  0.1843  0.2454  0.1756
O  0.8419  0.8655  0.5864
O  0.4675  0.7282  0.4331
O  0.4842  0.0850  0.8845
O  0.7282  0.4675  0.9331
O  0.5011  0.3601  0.0900
O  0.5158  0.9150  0.1155
O  0.7036  0.1869  0.3975
O  0.8131  0.2964  0.1025
O  0.1581  0.1345  0.4136
O  0.9150  0.5158  0.6155
O  0.2454  0.1843  0.6756
Dy  0.8810  0.1190  0.2500
Dy  0.1190  0.8810  0.7500
K  0.8149  0.1851  0.7500
K  0.1851  0.8149  0.2500

## Properties
Formation energy (no corrections) in kJ per mole of atoms: -239
Total magnetization in μB/cell: 0.00

4.
Computed, not measured: a geometry-optimized BeHgBi2 structure at the GGA-PBEsol level of DFT.

a = 5.1271 Å, b = 5.1271 Å, c = 5.1271 Å
α = 60.00°, β = 60.00°, γ = 60.00°
Element x y z (fractional)
Hg  0.5000  0.5000  0.5000
Be  0.0000  0.0000  0.0000
Bi  0.7500  0.7500  0.7500
Bi  0.2500  0.2500  0.2500

## Properties
ΔH_f (0 K) in meV/atom: 504
Total magnetization in μB/cell: 0.00

5.
Computed, not measured: a geometry-optimized RbTiTe3 structure at the GGA-PBEsol level of DFT.

a = 5.4034 Å, b = 5.4034 Å, c = 5.4034 Å
α = 90.00°, β = 90.00°, γ = 90.00°
Element x y z (fractional)
Ti  0.0000  0.0000  0.0000
Rb  0.5000  0.5000  0.5000
Te  0.5000  0.0000  0.0000
Te  0.0000  0.5000  0.0000
Te  0.0000  0.0000  0.5000

## Properties
Formation energy (no corrections) in kJ per mole of atoms: -59
Total magnetization in μB/cell: 0.00

6.
Computed, not measured: a geometry-optimized KSi2Pd2 structure at the GGA-PBEsol level of DFT.

a = 4.2711 Å, b = 4.2711 Å, c = 5.8413 Å
α = 111.44°, β = 111.44°, γ = 90.00°
Element x y z (fractional)
Si  0.3696  0.3696  0.7393
Si  0.6304  0.6304  0.2607
K  0.0000  0.0000  0.0000
Pd  0.2500  0.7500  0.5000
Pd  0.7500  0.2500  0.5000

## Properties
Formation energy (no corrections) in kJ per mole of atoms: -38
Total magnetization in μB/cell: 0.00

7.
Computed, not measured: a geometry-optimized Sr2YIn structure at the GGA-PBEsol level of DFT.

a = 3.8480 Å, b = 6.1635 Å, c = 6.1635 Å
α = 108.71°, β = 90.00°, γ = 90.00°
Element x y z (fractional)
Sr  0.0000  0.0000  0.5000
Sr  0.0000  0.5000  0.0000
Y  0.5000  0.0000  0.0000
In  0.5000  0.5000  0.5000

## Properties
ΔH_f (0 K) in meV/atom: -20
Total magnetization in μB/cell: 0.00

8.
Computed, not measured: a geometry-optimized Mg2ZrTa structure at the GGA-PBEsol level of DFT.

a = 2.9360 Å, b = 2.9360 Å, c = 9.6696 Å
α = 90.00°, β = 90.00°, γ = 100.44°
Element x y z (fractional)
Ta  0.0000  0.0000  0.4965
Zr  0.5000  0.5000  0.2666
Mg  0.0000  0.0000  0.9985
Mg  0.5000  0.5000  0.7384

## Properties
ΔH_f (0 K) in meV/atom: 107
Total magnetization in μB/cell: 0.00

9.
Computed, not measured: a geometry-optimized LaBe2Al structure at the GGA-PBEsol level of DFT.

a = 4.6190 Å, b = 4.6190 Å, c = 4.6190 Å
α = 60.00°, β = 60.00°, γ = 60.00°
Element x y z (fractional)
Al  0.5000  0.5000  0.5000
La  0.7500  0.7500  0.7500
Be  0.2500  0.2500  0.2500
Be  0.0000  0.0000  0.0000

## Properties
ΔH_f (0 K) in meV/atom: 277
Total magnetization in μB/cell: 0.00

10.
Computed, not measured: a geometry-optimized Ag2Hg structure at the GGA-PBEsol level of DFT.

a = 2.9904 Å, b = 7.9314 Å, c = 7.9314 Å
α = 120.00°, β = 90.00°, γ = 90.00°
Element x y z (fractional)
Hg  0.5000  0.0000  0.0000
Hg  0.0000  0.3333  0.6667
Hg  0.0000  0.6667  0.3333
Ag  0.0000  0.3053  0.0000
Ag  0.5000  0.3617  0.3617
Ag  0.0000  0.6947  0.6947
Ag  0.0000  0.0000  0.3053
Ag  0.5000  0.0000  0.6383
Ag  0.5000  0.6383  0.0000

## Properties
ΔH_f (0 K) in meV/atom: 19
Total magnetization in μB/cell: 0.00

11.
Computed, not measured: a geometry-optimized Er4SiNi3 structure at the GGA-PBEsol level of DFT.

a = 3.8221 Å, b = 3.9582 Å, c = 10.1223 Å
α = 90.00°, β = 90.00°, γ = 90.00°
Element x y z (fractional)
Ni  0.0000  0.5000  0.5707
Ni  0.0000  0.0000  0.4292
Ni  0.5000  0.0000  0.9299
Er  0.5000  0.5000  0.3634
Er  0.0000  0.5000  0.8543
Er  0.5000  0.0000  0.6407
Er  0.0000  0.0000  0.1440
Si  0.5000  0.5000  0.0678

## Properties
Formation energy (no corrections) in kJ per mole of atoms: -55
Total magnetization in μB/cell: 0.00

12.
Computed, not measured: a geometry-optimized MgAgTe2 structure at the GGA-PBEsol level of DFT.

a = 4.1276 Å, b = 4.1276 Å, c = 5.7735 Å
α = 90.00°, β = 90.00°, γ = 90.00°
Element x y z (fractional)
Te  0.6261  0.3739  0.5000
Te  0.1234  0.8766  0.0000
Ag  0.6234  0.3766  0.0000
Mg  0.1265  0.8735  0.5000

## Properties
Formation energy (no corrections) in kJ per mole of atoms: -39
Total magnetization in μB/cell: 0.00

13.
Computed, not measured: a geometry-optimized MgSeCl structure at the GGA-PBEsol level of DFT.

a = 3.1636 Å, b = 3.1636 Å, c = 7.0400 Å
α = 100.16°, β = 100.16°, γ = 102.43°
Element x y z (fractional)
Se  0.2965  0.2965  0.5929
Cl  0.0470  0.0470  0.0940
Mg  0.6565  0.6565  0.3131

## Properties
Formation energy (no corrections) in kJ per mole of atoms: -90
Total magnetization in μB/cell: 0.00

14.
Computed, not measured: a geometry-optimized PRuCl3 structure at the GGA-PBEsol level of DFT.

a = 4.7518 Å, b = 4.7518 Å, c = 4.7518 Å
α = 90.00°, β = 90.00°, γ = 90.00°
Each line ends with the local moment (μB).
Element x y z (fractional)
Cl  0.0000  0.0000  0.5000  0.02
Cl  0.5000  0.0000  0.0000  0.02
Cl  0.0000  0.5000  0.0000  0.02
Ru  0.5000  0.5000  0.5000  2.62
P  0.0000  0.0000  0.0000  0.01

## Properties
Formation energy (no corrections) in kJ per mole of atoms: 83
Total magnetization in μB/cell: 3.06

15.
Computed, not measured: a geometry-optimized ScTi2TeMo structure at the GGA-PBEsol level of DFT.

a = 4.8808 Å, b = 4.8808 Å, c = 4.8959 Å
α = 90.00°, β = 90.00°, γ = 90.00°
Element x y z (fractional)
Ti  0.0000  0.5000  0.0000
Ti  0.5000  0.0000  0.0000
Mo  0.0000  0.0000  0.5000
Sc  0.5000  0.5000  0.5000
Te  0.0000  0.0000  0.0000

## Properties
Formation energy (no corrections) in kJ per mole of atoms: 85
Total magnetization in μB/cell: 0.00

16.
Computed, not measured: a geometry-optimized RbYNi2Sn structure at the GGA-PBEsol level of DFT.

a = 4.5950 Å, b = 4.5950 Å, c = 5.2942 Å
α = 90.00°, β = 90.00°, γ = 90.00°
Element x y z (fractional)
Sn  0.5000  0.5000  0.5000
Rb  0.0000  0.0000  0.0000
Ni  0.0000  0.5000  0.0000
Ni  0.5000  0.0000  0.0000
Y  0.0000  0.0000  0.5000

## Properties
ΔH_f (0 K) in meV/atom: 1478
Total magnetization in μB/cell: 0.00

17.
Computed, not measured: a geometry-optimized Ta2SnOs2 structure at the GGA-PBEsol level of DFT.

a = 4.2567 Å, b = 4.2567 Å, c = 6.1613 Å
α = 110.21°, β = 110.21°, γ = 90.00°
Element x y z (fractional)
Ta  0.7500  0.2500  0.5000
Ta  0.2500  0.7500  0.5000
Os  0.6178  0.6178  0.2355
Os  0.3822  0.3822  0.7645
Sn  0.0000  0.0000  0.0000

## Properties
ΔH_f (0 K) in meV/atom: 112
Total magnetization in μB/cell: 0.00

18.
Computed, not measured: a geometry-optimized CrFe3 structure at the GGA-PBEsol level of DFT.

a = 2.4032 Å, b = 3.9426 Å, c = 4.6472 Å
α = 90.00°, β = 100.60°, γ = 90.00°
Each line ends with the local moment (μB).
Element x y z (fractional)
Fe  0.7523  0.5000  0.2502  2.05
Fe  0.2477  0.5000  0.7498  2.05
Fe  0.5000  0.0000  0.5000  2.10
Cr  0.0000  0.0000  0.0000  -0.38

## Properties
ΔH_f (0 K) in meV/atom: 68
Total magnetization in μB/cell: 5.77

19.
Computed, not measured: a geometry-optimized BePt structure at the GGA-PBEsol level of DFT.

a = 3.3599 Å, b = 3.3599 Å, c = 4.8247 Å
α = 110.38°, β = 110.38°, γ = 90.00°
Element x y z (fractional)
Be  0.2500  0.7500  0.5000
Be  0.0000  0.0000  0.0000
Pt  0.7500  0.2500  0.5000
Pt  0.5000  0.5000  0.0000

## Properties
ΔH_f (0 K) in meV/atom: -451
Total magnetization in μB/cell: 0.00

20.
Computed, not measured: a geometry-optimized CaInPCl2 structure at the GGA-PBEsol level of DFT.

a = 5.0678 Å, b = 5.0706 Å, c = 5.0706 Å
α = 90.00°, β = 90.00°, γ = 90.00°
Element x y z (fractional)
Ca  0.5000  0.5000  0.5000
Cl  0.0000  0.5000  0.0000
Cl  0.0000  0.0000  0.5000
In  0.0000  0.0000  0.0000
P  0.5000  0.0000  0.0000

## Properties
Formation energy (no corrections) in kJ per mole of atoms: -65
Total magnetization in μB/cell: 0.00

21.
Computed, not measured: a geometry-optimized FeBiPPt2 structure at the GGA-PBEsol level of DFT.

a = 4.5764 Å, b = 4.5764 Å, c = 4.8441 Å
α = 90.00°, β = 90.00°, γ = 90.00°
Each line ends with the local moment (μB).
Element x y z (fractional)
Pt  0.0000  0.5000  0.0000  0.34
Pt  0.5000  0.0000  0.0000  0.34
P  0.5000  0.5000  0.5000  0.05
Fe  0.0000  0.0000  0.0000  2.21
Bi  0.0000  0.0000  0.5000  -0.03

## Properties
ΔH_f (0 K) in meV/atom: 1058
Total magnetization in μB/cell: 3.02

22.
Computed, not measured: a geometry-optimized CaLa2Zn structure at the GGA-PBEsol level of DFT.

a = 3.5768 Å, b = 5.4119 Å, c = 6.9393 Å
α = 112.95°, β = 104.93°, γ = 90.00°
Element x y z (fractional)
Ca  0.0000  0.5000  0.0000
La  0.7917  0.7917  0.5833
La  0.2083  0.2083  0.4167
Zn  0.5000  0.0000  0.0000

## Properties
ΔH_f (0 K) in meV/atom: -87
Total magnetization in μB/cell: 0.00

23.
Computed, not measured: a geometry-optimized Hg3MoIr structure at the GGA-PBEsol level of DFT.

a = 5.1036 Å, b = 5.1036 Å, c = 5.1036 Å
α = 90.00°, β = 90.00°, γ = 90.00°
Each line ends with the local moment (μB).
Element x y z (fractional)
Hg  0.5000  0.0000  0.0000  0.00
Hg  0.0000  0.5000  0.0000  0.00
Hg  0.0000  0.0000  0.5000  0.00
Mo  0.5000  0.5000  0.5000  4.02
Ir  0.0000  0.0000  0.0000  0.20

## Properties
ΔH_f (0 K) in meV/atom: 1350
Total magnetization in μB/cell: 4.99

24.
Computed, not measured: a geometry-optimized ZnFeAg structure at the GGA-PBEsol level of DFT.

a = 2.6978 Å, b = 2.6978 Å, c = 6.5752 Å
α = 90.00°, β = 90.00°, γ = 120.00°
Each line ends with the local moment (μB).
Element x y z (fractional)
Ag  0.0000  0.0000  0.9974  -0.01
Fe  0.3333  0.6667  0.6557  2.58
Zn  0.6667  0.3333  0.3469  -0.04

## Properties
ΔH_f (0 K) in meV/atom: 198
Total magnetization in μB/cell: 2.49

25.
Computed, not measured: a geometry-optimized LaScIr2 structure at the GGA-PBEsol level of DFT.

a = 3.2286 Å, b = 3.2286 Å, c = 7.2093 Å
α = 90.00°, β = 90.00°, γ = 90.00°
Element x y z (fractional)
Ir  0.0000  0.0000  0.2850
Ir  0.0000  0.0000  0.7150
La  0.5000  0.5000  0.0000
Sc  0.5000  0.5000  0.5000

## Properties
ΔH_f (0 K) in meV/atom: -692
Total magnetization in μB/cell: 0.00

26.
Computed, not measured: a geometry-optimized Ba2MoH structure at the GGA-PBEsol level of DFT.

a = 5.4319 Å, b = 5.4319 Å, c = 5.4319 Å
α = 60.00°, β = 60.00°, γ = 60.00°
Each line ends with the local moment (μB).
Element x y z (fractional)
Ba  0.2500  0.2500  0.2500  0.01
Ba  0.7500  0.7500  0.7500  0.01
H  0.0000  0.0000  0.0000  0.04
Mo  0.5000  0.5000  0.5000  2.75

## Properties
Final energy in eV per atom: -3.7603
Total magnetization in μB/cell: 3.17

27.
Computed, not measured: a geometry-optimized CdHg2Bi structure at the GGA-PBEsol level of DFT.

a = 4.3313 Å, b = 4.3313 Å, c = 11.3695 Å
α = 100.98°, β = 100.98°, γ = 90.00°
Element x y z (fractional)
Cd  0.5000  0.5000  0.0000
Cd  0.7500  0.2500  0.5000
Bi  0.0000  0.0000  0.0000
Bi  0.2500  0.7500  0.5000
Hg  0.8647  0.3750  0.2500
Hg  0.1250  0.1353  0.7500
Hg  0.3853  0.8750  0.2500
Hg  0.6250  0.6147  0.7500

## Properties
ΔH_f (0 K) in meV/atom: 50
Total magnetization in μB/cell: 0.00